Density functional theory data (PBE-GGA) for a relaxed structure of BeSbOs2.

Relative energy among the computed polymorphs ... 409.9 meV per atom
Fermi-level density of states ... 3.86 states/eV/f.u.

a b c (Å): 2.880 2.880 8.208
angles (deg): 90.00 90.00 116.62
Atoms (fractional coordinates):
Be: 0.000 0.000 0.000
Sb: 0.000 0.000 0.500
Os: 0.500 0.500 0.204
Os: 0.500 0.500 0.796



Density functional theory data (PBE-GGA) for a relaxed structure of Pm2Ga5Au5.

Fermi-level density of states ... 3.22 states/eV/f.u.
ΔH_f (0 K) ... -5.965 eV/f.u.

a b c (Å): 4.482 5.461 9.748
angles (deg): 90.00 90.00 90.00
Atoms (fractional coordinates):
Pm: 0.000 0.000 0.000
Pm: 0.000 0.500 0.500
Ga: 0.500 0.000 0.500
Ga: 0.500 0.243 0.237
Ga: 0.500 0.243 0.763
Ga: 0.500 0.757 0.237
Ga: 0.500 0.757 0.763
Au: 0.000 0.000 0.338
Au: 0.000 0.000 0.662
Au: 0.000 0.500 0.186
Au: 0.000 0.500 0.814
Au: 0.500 0.500 0.000



Density functional theory data (PBE-GGA) for a relaxed structure of Be3H12Rh5.

Fermi-level density of states ... 4.96 states/eV/f.u.

a b c (Å): 9.019 9.019 9.019
angles (deg): 109.47 109.47 109.47
Atoms (fractional coordinates):
Be: 0.125 0.250 0.375
Be: 0.125 0.375 0.750
Be: 0.250 0.375 0.125
Be: 0.250 0.875 0.625
Be: 0.375 0.125 0.250
Be: 0.375 0.750 0.125
Be: 0.625 0.250 0.875
Be: 0.625 0.875 0.750
Be: 0.750 0.125 0.375
Be: 0.750 0.625 0.875
Be: 0.875 0.625 0.250
Be: 0.875 0.750 0.625
H: 0.058 0.222 0.143
H: 0.058 0.336 0.915
H: 0.080 0.722 0.664
H: 0.080 0.857 0.415
H: 0.085 0.643 0.420
H: 0.085 0.942 0.664
H: 0.143 0.058 0.222
H: 0.143 0.585 0.920
H: 0.164 0.222 0.580
H: 0.164 0.442 0.585
H: 0.222 0.143 0.058
H: 0.222 0.580 0.164
H: 0.278 0.336 0.920
H: 0.278 0.442 0.357
H: 0.336 0.915 0.058
H: 0.336 0.920 0.278
H: 0.357 0.278 0.442
H: 0.357 0.580 0.915
H: 0.415 0.080 0.857
H: 0.415 0.836 0.558
H: 0.420 0.085 0.643
H: 0.420 0.836 0.778
H: 0.442 0.357 0.278
H: 0.442 0.585 0.164
H: 0.558 0.415 0.836
H: 0.558 0.643 0.722
H: 0.580 0.164 0.222
H: 0.580 0.915 0.357
H: 0.585 0.164 0.442
H: 0.585 0.920 0.143
H: 0.643 0.420 0.085
H: 0.643 0.722 0.558
H: 0.664 0.080 0.722
H: 0.664 0.085 0.942
H: 0.722 0.558 0.643
H: 0.722 0.664 0.080
H: 0.778 0.420 0.836
H: 0.778 0.857 0.942
H: 0.836 0.558 0.415
H: 0.836 0.778 0.420
H: 0.857 0.415 0.080
H: 0.857 0.942 0.778
H: 0.915 0.058 0.336
H: 0.915 0.357 0.580
H: 0.920 0.143 0.585
H: 0.920 0.278 0.336
H: 0.942 0.664 0.085
H: 0.942 0.778 0.857
Rh: 0.000 0.000 0.000
Rh: 0.000 0.000 0.500
Rh: 0.000 0.500 0.000
Rh: 0.000 0.500 0.500
Rh: 0.125 0.750 0.875
Rh: 0.125 0.875 0.250
Rh: 0.250 0.125 0.875
Rh: 0.250 0.625 0.375
Rh: 0.375 0.250 0.625
Rh: 0.375 0.625 0.750
Rh: 0.500 0.000 0.000
Rh: 0.500 0.000 0.500
Rh: 0.500 0.500 0.000
Rh: 0.500 0.500 0.500
Rh: 0.625 0.375 0.250
Rh: 0.625 0.750 0.375
Rh: 0.750 0.375 0.625
Rh: 0.750 0.875 0.125
Rh: 0.875 0.125 0.750
Rh: 0.875 0.250 0.125



| no. | E_tot (eV per cell) |
| --- | --- |
| 1 | -27.42 |
| 2 | -46.99 |
| 3 | -344.30 |